Hf2CdP2: relaxed, GGA-PBE.

Results
E above lowest polymorph = 229 meV per atom
Formation energy from the elements = -451 meV per atom

a = 3.485 Å, b = 3.485 Å, c = 15.229 Å
α = 90.00°, β = 90.00°, γ = 90.00°
Space group I4/mmm (No. 139)
Symmetry-distinct sites (fractional):
Hf1 0.000 0.000 0.120 [4 per cell]
Cd1 0.000 0.000 0.500 [2 per cell]
P1 0.000 0.500 0.250 [4 per cell]

=====

HfTi2Ru2: relaxed, GGA-PBE.

Results
E above lowest polymorph = 14 meV per atom
Formation energy from the elements = -357 meV per atom

a = 7.364 Å, b = 7.364 Å, c = 3.074 Å
α = 90.00°, β = 90.00°, γ = 90.00°
Space group P4/mbm (No. 127)
Symmetry-distinct sites (fractional):
Hf1 0.000 0.000 0.000 [2 per cell]
Ti1 0.151 0.349 0.500 [4 per cell]
Ru1 0.146 0.646 0.000 [4 per cell]

=====

Rb4Tb3HoTe8: relaxed, GGA-PBE.

Results
Raw formation energy = -1.387 eV per atom

a = 9.0686 Å, b = 9.0686 Å, c = 25.6611 Å
α = 90.00°, β = 90.00°, γ = 120.00°
Space group R-3m (No. 166, hexagonal axes)
Symmetry-distinct sites (fractional):
Rb1 0.0000 0.0000 0.0000 [3 per cell]
Rb2 0.0000 0.5000 0.0000 [9 per cell]
Tb1 0.0000 0.5000 0.5000 [9 per cell]
Ho1 0.0000 0.0000 0.5000 [3 per cell]
Te1 0.0000 0.0000 0.2334 [6 per cell]
Te2 0.0018 0.5009 0.2331 [18 per cell]

=====

Y4Tm3Sc3: relaxed, GGA-PBE.

Results
Formation energy from the elements = 106 meV per atom

a = 3.623 Å, b = 12.685 Å, c = 12.785 Å
α = 90.00°, β = 90.00°, γ = 90.00°
Space group Amm2 (No. 38)
Symmetry-distinct sites (fractional):
Y1 0.000 0.000 0.000 [2 per cell]
Y2 0.000 0.000 0.257 [2 per cell]
Y3 0.000 0.132 0.620 [4 per cell]
Tm1 0.000 0.249 0.375 [4 per cell]
Tm2 0.500 0.000 0.794 [2 per cell]
Sc1 0.500 0.000 0.455 [2 per cell]
Sc2 0.500 0.169 0.126 [4 per cell]

=====

CsGaBr2F: relaxed, GGA-PBE.

Results
Raw formation energy = -1.500 eV per atom

a = 5.683 Å, b = 5.683 Å, c = 4.342 Å
α = 90.00°, β = 90.00°, γ = 90.00°
Space group P4/mmm (No. 123)
Symmetry-distinct sites (fractional):
Cs1 0.000 0.000 0.000 [1 per cell]
Ga1 0.500 0.500 0.500 [1 per cell]
Br1 0.000 0.500 0.500 [2 per cell]
F1 0.500 0.500 0.000 [1 per cell]

=====

Ni2RuBr: relaxed, GGA-PBE.

Results
Raw formation energy = 0.582 eV per atom
E above lowest polymorph = 98 meV per atom

a = 2.849 Å, b = 2.849 Å, c = 7.223 Å
α = 90.00°, β = 90.00°, γ = 90.00°
Space group P4/mmm (No. 123)
Symmetry-distinct sites (fractional):
Ni1 0.000 0.000 0.223 [2 per cell]
Ru1 0.500 0.500 0.000 [1 per cell]
Br1 0.500 0.500 0.500 [1 per cell]

=====

no.,uncorrected energy (eV per atom)
1,-6.779
2,-9.216
3,-4.354
4,-5.720
5,-3.320
6,-5.045